{"formula": "BaGa3Tc", "functional": "PBE", "state": "optimized geometry", "cell": [[-4.6612, 1.4939, -0.1662], [1.8970, -2.5253, -3.7430], [-2.9697, -8.7746, 4.4150]], "species": ["Ga", "Ga", "Ga", "Ga", "Ga", "Ga", "Ba", "Ba", "Tc", "Tc"], "fractional_positions": [[0.0000, 0.0000, 0.2500], [0.6667, 0.3333, 0.9399], [0.3333, 0.6667, 0.0601], [0.6667, 0.3333, 0.5601], [0.0000, 0.0000, 0.7500], [0.3333, 0.6667, 0.4399], [0.6667, 0.3333, 0.2500], [0.3333, 0.6667, 0.7500], [0.0000, 0.0000, 0.5000], [0.0000, 0.0000, 0.0000]], "polymorph_energy_mev_per_atom": 474, "delta_e_f_ev_per_atom": 0.05, "magmom_total_mub_per_fu": 0.00, "e_tot_ev_per_atom": -4.228}

---

{"formula": "BaGaTc", "functional": "PBE", "state": "optimized geometry", "cell": [[11.5451, 0.0000, -0.0111], [0.0000, 4.3391, 0.0000], [-0.0099, 0.0000, 7.5213]], "species": ["Tc", "Tc", "Tc", "Tc", "Ga", "Ga", "Ga", "Ga", "Ba", "Ba", "Ba", "Ba"], "fractional_positions": [[0.4270, 0.0000, 0.5549], [0.4901, 0.5000, 0.3882], [0.4270, 0.5000, 0.0549], [0.4901, 0.0000, 0.8882], [0.5195, 0.0000, 0.2215], [0.2804, 0.5000, 0.3870], [0.5195, 0.5000, 0.7215], [0.2804, 0.0000, 0.8870], [0.7255, 0.5000, 0.0554], [0.0990, 0.0000, 0.2198], [0.0990, 0.5000, 0.7198], [0.7255, 0.0000, 0.5554]], "polymorph_energy_mev_per_atom": 134, "delta_e_f_ev_per_atom": -0.03, "magmom_total_mub_per_fu": 0.00, "e_tot_ev_per_atom": -5.140}

---

{"formula": "BaGa3Tc", "functional": "PBE", "state": "optimized geometry", "cell": [[-0.7352, 5.4928, -0.5958], [-5.5130, -0.7690, -0.2871], [-0.3651, 0.5515, 5.5344]], "species": ["Ga", "Ga", "Ga", "Tc", "Ba"], "fractional_positions": [[0.0000, 0.0000, 0.5000], [0.0000, 0.5000, 0.0000], [0.5000, 0.0000, 0.0000], [0.5000, 0.5000, 0.5000], [0.0000, 0.0000, 0.0000]], "polymorph_energy_mev_per_atom": 2550, "delta_e_f_ev_per_atom": 2.12, "magmom_total_mub_per_fu": 0.00, "e_tot_ev_per_atom": -2.152}

---

{"formula": "BaGa3Tc", "functional": "PBE", "state": "optimized geometry", "cell": [[14.9992, 0.0000, -0.9254], [6.4173, 5.7045, -2.9583], [-6.4173, 5.7045, 2.9583]], "species": ["Tc", "Tc", "Tc", "Tc", "Ga", "Ga", "Ga", "Ga", "Ga", "Ga", "Ga", "Ga", "Ga", "Ga", "Ga", "Ga", "Ba", "Ba", "Ba", "Ba"], "fractional_positions": [[0.2500, 0.5584, 0.0584], [0.7500, 0.0645, 0.5645], [0.7500, 0.4416, 0.9416], [0.2500, 0.9355, 0.4355], [0.9940, 0.5829, 0.6546], [0.4344, 0.4619, 0.5133], [0.9933, 0.3662, 0.0215], [0.0067, 0.6338, 0.9785], [0.5067, 0.5215, 0.8662], [0.0060, 0.4171, 0.3454], [0.0656, 0.0133, 0.9619], [0.5060, 0.1546, 0.0829], [0.9344, 0.9867, 0.0381], [0.4940, 0.8454, 0.9171], [0.5656, 0.5381, 0.4867], [0.4933, 0.4785, 0.1338], [0.9898, 0.2004, 0.5678], [0.5102, 0.0678, 0.7004], [0.0102, 0.7996, 0.4322], [0.4898, 0.9322, 0.2996]], "polymorph_energy_mev_per_atom": 281, "delta_e_f_ev_per_atom": -0.15, "magmom_total_mub_per_fu": 0.00, "e_tot_ev_per_atom": -4.421}

---

{"formula": "BaGa3Tc", "functional": "PBE", "state": "optimized geometry", "cell": [[-0.0855, -3.4525, 0.9366], [-0.9241, -2.0466, -7.6288], [5.7352, 1.3096, 5.3511]], "species": ["Ba", "Ga", "Ga", "Ga", "Tc"], "fractional_positions": [[0.5000, 0.0952, 0.9048], [0.5000, 0.1212, 0.3400], [0.5000, 0.6600, 0.8788], [0.0000, 0.2891, 0.7109], [0.0000, 0.4626, 0.5374]], "polymorph_energy_mev_per_atom": 717, "delta_e_f_ev_per_atom": 0.29, "magmom_total_mub_per_fu": 0.00, "e_tot_ev_per_atom": -3.985}

---

{"formula": "BaGa3Tc", "functional": "PBE", "state": "optimized geometry", "cell": [[-13.5456, -3.2607, 0.4588], [-5.9323, -2.5717, -6.9479], [7.0100, -3.6246, -5.2728]], "species": ["Ga", "Ga", "Ga", "Ga", "Ga", "Ga", "Ga", "Ga", "Ga", "Ga", "Ga", "Ga", "Ba", "Ba", "Ba", "Ba", "Tc", "Tc", "Tc", "Tc"], "fractional_positions": [[0.7501, 0.8723, 0.9298], [0.7499, 0.4298, 0.3723], [0.2501, 0.8347, 0.7484], [0.2499, 0.1277, 0.0702], [0.2496, 0.5292, 0.3550], [0.7496, 0.1450, 0.9708], [0.7501, 0.7516, 0.6653], [0.2504, 0.8550, 0.0292], [0.7499, 0.1653, 0.2516], [0.2499, 0.2484, 0.3347], [0.2501, 0.5702, 0.6277], [0.7504, 0.4708, 0.6450], [0.2500, 0.4523, 0.9523], [0.2500, 0.8699, 0.3699], [0.7500, 0.5477, 0.0477], [0.7500, 0.1301, 0.6301], [0.7576, 0.8801, 0.2167], [0.2424, 0.1199, 0.7833], [0.2576, 0.2833, 0.6199], [0.7424, 0.7167, 0.3801]], "polymorph_energy_mev_per_atom": 332, "delta_e_f_ev_per_atom": -0.10, "magmom_total_mub_per_fu": 0.00, "e_tot_ev_per_atom": -4.371}